PmEr2Ga2Cu2: optimized geometry, PBE-GGA.

```
PmEr2Ga2Cu2
1.0
2.202 1.272 9.096
-2.202 1.272 9.096
0.000 -2.543 9.096
Pm Er Ga Cu
1 2 2 2
Direct
0.000 0.000 0.000
0.125 0.125 0.125
0.875 0.875 0.875
0.259 0.259 0.259
0.741 0.741 0.741
0.404 0.404 0.404
0.596 0.596 0.596
```

Summary:
* DOS at the Fermi energy: 0.650 states/eV per atom
* mass density: 8.11 Mg/m³
* volume: 21.83 Å³/atom
* calculated formation energy: -0.39 eV per atom
* raw total energy: -4.409 eV per atom